A.
## GeSbTe2As (PBE-GGA)

Data for crystalline GeSbTe2As at its relaxed geometry.

Fermi-level density of states: 4.34 states/eV per cell
crystal system: tetragonal
V: 30.31 Å³ per atom

Unit cell a=5.3070 b=5.3070 c=5.3808 alpha=90.00 beta=90.00 gamma=90.00
Closest atoms and distances in Å follow each position.
Space group P4/mmm (No. 123)
Inequivalent atoms, fractional coordinates:
Ge1 0.0000 0.0000 0.0000  4 Te 2.65, 2 Sb 2.69
Sb1 0.0000 0.0000 0.5000  2 Ge 2.69
Te1 0.0000 0.5000 0.0000  2 Ge 2.65
As1 0.5000 0.5000 0.5000  4 Sb 3.75, 8 Te 3.78


B.
## GeSbTe2As (PBE-GGA)

Data for crystalline GeSbTe2As at its relaxed geometry.

Fermi-level density of states: 4.48 states/eV per cell
crystal system: tetragonal
V: 31.61 Å³ per atom

Unit cell a=5.5024 b=5.5024 c=5.2198 alpha=90.00 beta=90.00 gamma=90.00
Closest atoms and distances in Å follow each position.
Space group P4/mmm (No. 123)
Inequivalent atoms, fractional coordinates:
Ge1 0.0000 0.0000 0.0000  8 Te 3.79, 4 Sb 3.89
Sb1 0.5000 0.5000 0.0000  2 As 2.61
Te1 0.0000 0.5000 0.5000  2 As 2.75
As1 0.5000 0.5000 0.5000  2 Sb 2.61, 4 Te 2.75


Relative energy of each structure, in meV per atom: A 110; B 0.


A.
## Ge2AsSe (PBE-GGA)

Data for crystalline Ge2AsSe at its relaxed geometry.

Fermi-level density of states: 6.73 states/eV per cell
crystal system: tetragonal
V: 25.42 Å³ per atom

Unit cell a=6.7374 b=6.7374 c=8.9589 alpha=90.00 beta=90.00 gamma=90.00
Closest atoms and distances in Å follow each position.
Space group I-42d (No. 122)
Inequivalent atoms, fractional coordinates:
Ge1 0.2378 0.2500 0.1250  2 As 2.58, 2 Se 2.69
As1 0.0000 0.0000 0.0000  4 Ge 2.58
Se1 0.0000 0.0000 0.5000  4 Ge 2.69


B.
## Ge2AsSe (PBE-GGA)

Data for crystalline Ge2AsSe at its relaxed geometry.

Fermi-level density of states: 17.02 states/eV per cell
crystal system: monoclinic
V: 21.07 Å³ per atom

Unit cell a=7.9716 b=15.3787 c=6.7774 alpha=90.00 beta=125.74 gamma=90.00
Closest atoms and distances in Å follow each position.
Space group C2/c (No. 15)
Inequivalent atoms, fractional coordinates:
Ge1 0.2283 0.0626 0.2430  3 As 2.68-2.72, 3 Se 2.79-2.87
Ge2 0.2458 0.1878 0.7425  3 As 2.71-2.75, 3 Se 2.77-2.79
As1 0.0000 0.0641 0.7500  6 Ge 2.69-2.75
As2 0.0000 0.1891 0.2500  6 Ge 2.68-2.75
Se1 0.0000 0.3127 0.7500  6 Ge 2.77-2.87
Se2 0.0000 0.4378 0.2500  6 Ge 2.78-2.87


Relative energy of each structure, in meV per atom: A 151; B 0.


A.
## Ge2AsSe (PBE-GGA)

Data for crystalline Ge2AsSe at its relaxed geometry.

Fermi-level density of states: 4.54 states/eV per cell
crystal system: trigonal
V: 27.29 Å³ per atom

Unit cell a=4.0999 b=4.0999 c=22.5004 alpha=90.00 beta=90.00 gamma=120.00
Closest atoms and distances in Å follow each position.
Space group R-3m (No. 166, hexagonal axes)
Inequivalent atoms, fractional coordinates:
Ge1 0.0000 0.0000 0.1066  1 Se 2.40
As1 0.0000 0.0000 0.5000  6 Ge 2.73
Se1 0.0000 0.0000 0.0000  2 Ge 2.40


B.
## Ge2AsSe (PBE-GGA)

Data for crystalline Ge2AsSe at its relaxed geometry.

Fermi-level density of states: 10.98 states/eV per cell
crystal system: cubic
V: 19.71 Å³ per atom

Unit cell a=6.8068 b=6.8068 c=6.8068 alpha=90.00 beta=90.00 gamma=90.00
Closest atoms and distances in Å follow each position.
Space group Fm-3m (No. 225)
Inequivalent atoms, fractional coordinates:
Ge1 0.2500 0.2500 0.2500  4 As 2.95, 4 Se 2.95
As1 0.0000 0.0000 0.0000  8 Ge 2.95
Se1 0.0000 0.0000 0.5000  8 Ge 2.95


C.
## Ge2AsSe (PBE-GGA)

Data for crystalline Ge2AsSe at its relaxed geometry.

Fermi-level density of states: 5.30 states/eV per cell
crystal system: trigonal
V: 23.41 Å³ per atom

Unit cell a=3.7889 b=3.7889 c=22.5946 alpha=90.00 beta=90.00 gamma=120.00
Closest atoms and distances in Å follow each position.
Space group R3m (No. 160, hexagonal axes)
Inequivalent atoms, fractional coordinates:
Ge1 0.0000 0.0000 0.0000  3 Se 2.61
Ge2 0.0000 0.0000 0.1849  3 As 2.52
As1 0.0000 0.0000 0.5740  3 Ge 2.52
Se1 0.0000 0.0000 0.3966  3 Ge 2.61


Relative energy of each structure, in meV per atom: A 231; B 310; C 0.


A.
## GeAsSe (PBE-GGA)

Data for crystalline GeAsSe at its relaxed geometry.

crystal system: triclinic
V: 29.76 Å³ per atom

Unit cell a=5.4558 b=5.4876 c=6.0958 alpha=81.66 beta=84.01 gamma=83.17
Closest atoms and distances in Å follow each position.
Space group P1 (No. 1)
Inequivalent atoms, fractional coordinates:
Ge1 0.0000 0.0000 0.0000  2 As 2.54-2.61, 1 Se 2.56
Ge2 0.4122 0.3563 0.7105  1 As 2.56, 2 Se 2.56-2.75
As1 0.0763 0.1347 0.5836  1 Se 2.48, 2 Ge 2.54-2.56
As2 0.4531 0.8301 0.0798  2 Se 2.46-2.50, 1 Ge 2.61
Se1 0.1500 0.5372 0.0329  1 As 2.50, 2 Ge 2.56
Se2 0.4289 0.8277 0.4861  2 As 2.46-2.48, 1 Ge 2.75


B.
## GeAsSe (PBE-GGA)

Data for crystalline GeAsSe at its relaxed geometry.

crystal system: orthorhombic
V: 28.56 Å³ per atom

Unit cell a=5.1410 b=10.3823 c=12.8417 alpha=90.00 beta=90.00 gamma=90.00
Closest atoms and distances in Å follow each position.
Space group Pnna (No. 52)
Inequivalent atoms, fractional coordinates:
Ge1 0.2018 0.2500 0.2500  2 Se 2.41, 2 As 2.49
Ge2 0.2500 0.0000 0.7317  2 Se 2.39, 2 As 2.51
As1 0.0783 0.5844 0.3597  1 As 2.49, 2 Ge 2.49-2.51
Se1 0.0728 0.6584 0.8832  2 Ge 2.39-2.41


Relative energy of each structure, in meV per atom: A 250; B 0.


A.
## GeAsSe (PBE-GGA)

Data for crystalline GeAsSe at its relaxed geometry.

Fermi-level density of states: 1.17 states/eV per cell
crystal system: trigonal
V: 20.99 Å³ per atom

Unit cell a=3.8705 b=3.8705 c=4.8540 alpha=90.00 beta=90.00 gamma=120.00
Closest atoms and distances in Å follow each position.
Space group P3m1 (No. 156)
Inequivalent atoms, fractional coordinates:
Ge1 0.0000 0.0000 0.0000  3 As 2.61, 3 Se 2.78
As1 0.3333 0.6667 0.2797  3 Ge 2.61, 3 Se 2.89
Se1 0.6667 0.3333 0.6580  3 Ge 2.78, 3 As 2.89


B.
## GeAsSe (PBE-GGA)

Data for crystalline GeAsSe at its relaxed geometry.

Fermi-level density of states: 0.26 states/eV per cell
crystal system: triclinic
V: 27.12 Å³ per atom

Unit cell a=3.9168 b=6.3305 c=6.9244 alpha=85.55 beta=89.98 gamma=71.99
Closest atoms and distances in Å follow each position.
Space group P-1 (No. 2)
Inequivalent atoms, fractional coordinates:
Ge1 0.0451 0.4086 0.2935  2 Se 2.41-2.42, 2 As 2.52
As1 0.4055 0.6897 0.9124  1 As 2.50, 2 Ge 2.52
Se1 0.1431 0.2134 0.6118  2 Ge 2.41-2.42


Relative energy of each structure, in meV per atom: A 184; B 0.


A.
## GeAsSe3 (PBE-GGA)

Data for crystalline GeAsSe3 at its relaxed geometry.

Fermi-level density of states: 4.27 states/eV per cell
crystal system: monoclinic
V: 27.27 Å³ per atom

Unit cell a=21.5559 b=3.6390 c=6.9931 alpha=90.00 beta=96.17 gamma=90.00
Closest atoms and distances in Å follow each position.
Space group C2/m (No. 12)
Inequivalent atoms, fractional coordinates:
Ge1 0.1115 0.0000 0.4655  3 Se 2.49-2.59
As1 0.0914 0.5000 0.0178  3 Se 2.43-2.57
Se1 0.0245 0.5000 0.2761  1 As 2.43
Se2 0.1675 0.0000 0.1558  2 As 2.57, 1 Ge 2.59
Se3 0.1721 0.5000 0.6432  2 Ge 2.49


B.
## GeAsSe3 (PBE-GGA)

Data for crystalline GeAsSe3 at its relaxed geometry.

Fermi-level density of states: 2.48 states/eV per cell
crystal system: cubic
V: 25.46 Å³ per atom

Unit cell a=5.0302 b=5.0302 c=5.0302 alpha=90.00 beta=90.00 gamma=90.00
Closest atoms and distances in Å follow each position.
Space group Pm-3m (No. 221)
Inequivalent atoms, fractional coordinates:
Ge1 0.0000 0.0000 0.0000  12 Se 3.56
As1 0.5000 0.5000 0.5000  6 Se 2.52
Se1 0.0000 0.5000 0.5000  2 As 2.52


Relative energy of each structure, in meV per atom: A 0; B 516.